Record 1
Pm5PrYHo2 | PBE | relaxed

a = 5.7023 Å, b = 20.2959 Å, c = 10.6773 Å
α = 90.00°, β = 90.00°, γ = 90.00°
Space group Cmc2_1 (No. 36)
One atom of each set of equivalent atoms:
Pm (0.0000, 0.0173, 0.0000)
Pm (0.0000, 0.2805, 0.2918)
Pm (0.0000, 0.2979, 0.6874)
Pm (0.0000, 0.3872, 0.0015)
Pm (0.0000, 0.4796, 0.7188)
Pr (0.0000, 0.4136, 0.4315)
Y (0.0000, 0.1998, 0.9905)
Ho (0.0000, 0.1135, 0.7118)
Ho (0.0000, 0.1158, 0.2981)

Results
- spin magnetization (μB per formula unit) = 0.00
- E_form (kJ per mole of atoms) = 14.37
- crystal system = orthorhombic
- E_tot (eV for the cell shown) = -171.25

Record 2
DyYTmCd | PBE | relaxed

a = 7.6730 Å, b = 7.6730 Å, c = 7.6730 Å
α = 90.00°, β = 90.00°, γ = 90.00°
Space group F-43m (No. 216)
One atom of each set of equivalent atoms:
Dy (0.0000, 0.0000, 0.0000)
Y (0.0000, 0.0000, 0.5000)
Tm (0.2500, 0.2500, 0.7500)
Cd (0.2500, 0.2500, 0.2500)

Results
- spin magnetization (μB per formula unit) = 0.01
- E_form (kJ per mole of atoms) = -2.95
- crystal system = cubic
- E_tot (eV for the cell shown) = -66.30

Record 3
Sm5Hg2Au2 | PBE | relaxed

a = 16.6672 Å, b = 7.4342 Å, c = 8.1363 Å
α = 90.00°, β = 90.00°, γ = 90.00°
Space group Cmce (No. 64)
One atom of each set of equivalent atoms:
Sm (0.0000, 0.0000, 0.0000)
Sm (0.1346, 0.1698, 0.3266)
Hg (0.2131, 0.0000, 0.0000)
Au (0.0000, 0.1243, 0.6375)

Results
- spin magnetization (μB per formula unit) = 0.00
- E_form (kJ per mole of atoms) = -51.76
- crystal system = orthorhombic
- E_tot (eV for the cell shown) = -142.33

Record 4
NiOs2 | PBE | relaxed

a = 2.7267 Å, b = 3.6995 Å, c = 7.9052 Å
α = 90.00°, β = 90.00°, γ = 90.00°
Space group Immm (No. 71)
One atom of each set of equivalent atoms:
Ni (0.0000, 0.0000, 0.0000)
Os (0.0000, 0.0000, 0.3323)

Results
- spin magnetization (μB per formula unit) = 0.00
- E_form (kJ per mole of atoms) = 6.92
- crystal system = orthorhombic
- E_tot (eV for the cell shown) = -56.05

Record 5
Tb3ErSc2 | PBE | relaxed

a = 14.3311 Å, b = 9.6563 Å, c = 5.4370 Å
α = 90.00°, β = 90.00°, γ = 90.00°
Space group Cmcm (No. 63)
One atom of each set of equivalent atoms:
Tb (0.0000, 0.0935, 0.2500)
Tb (0.2439, 0.1323, 0.2500)
Er (0.0000, 0.2788, 0.7500)
Sc (0.1051, 0.4054, 0.2500)

Results
- spin magnetization (μB per formula unit) = 0.00
- E_form (kJ per mole of atoms) = 28.32
- crystal system = orthorhombic
- E_tot (eV for the cell shown) = -117.42

Record 6
Ge4Rh | PBE | relaxed

a = 6.2571 Å, b = 6.2571 Å, c = 7.9257 Å
α = 90.00°, β = 90.00°, γ = 120.00°
Space group P3_121 (No. 152)
One atom of each set of equivalent atoms:
Ge (0.0000, 0.0804, 0.1667)
Ge (0.0000, 0.6159, 0.1667)
Ge (0.2239, 0.4862, 0.9455)
Rh (0.0000, 0.3151, 0.6667)

Results
- spin magnetization (μB per formula unit) = 0.00
- E_form (kJ per mole of atoms) = -19.28
- crystal system = trigonal
- E_tot (eV for the cell shown) = -80.46

Record 7
MgTe2P | PBE | relaxed

a = 5.9117 Å, b = 5.9117 Å, c = 14.9404 Å
α = 90.00°, β = 90.00°, γ = 90.00°
Space group I-42d (No. 122)
One atom of each set of equivalent atoms:
Mg (0.0000, 0.0000, 0.0000)
Te (0.2240, 0.2500, 0.6250)
P (0.0000, 0.0000, 0.5000)

Results
- spin magnetization (μB per formula unit) = 0.00
- energy relative to the elements, uncorrected (kJ/mol of formula units) = -2.6
- crystal system = tetragonal
- E_tot (eV for the cell shown) = -53.26

Record 8
LaPuAuO6 | PBE | relaxed

a = 6.0187 Å, b = 6.0187 Å, c = 8.6739 Å
α = 90.00°, β = 90.00°, γ = 120.00°
Space group P-31c (No. 163)
One atom of each set of equivalent atoms:
La (0.3333, 0.6667, 0.2500)
Pu (0.3333, 0.6667, 0.7500)
Au (0.0000, 0.0000, 0.0000)
O (0.0516, 0.3820, 0.6269)

Results
- spin magnetization (μB per formula unit) = 1.13
- energy relative to the elements, uncorrected (kJ/mol of formula units) = -1661.6
- crystal system = trigonal
- E_tot (eV for the cell shown) = -139.01

Record 9
TiNb2Fe2 | PBE | relaxed

a = 6.9429 Å, b = 6.9429 Å, c = 3.1201 Å
α = 90.00°, β = 90.00°, γ = 90.00°
Space group P4/mbm (No. 127)
One atom of each set of equivalent atoms:
Ti (0.0000, 0.0000, 0.0000)
Nb (0.1711, 0.3289, 0.5000)
Fe (0.1305, 0.6305, 0.0000)

Results
- spin magnetization (μB per formula unit) = 0.00
- E_form (kJ per mole of atoms) = 0.90
- crystal system = tetragonal
- E_tot (eV for the cell shown) = -89.83

Record 10
BSN2F | PBE | relaxed

a = 3.5361 Å, b = 3.5361 Å, c = 3.2237 Å
α = 90.00°, β = 90.00°, γ = 90.00°
Space group P4/mmm (No. 123)
One atom of each set of equivalent atoms:
B (0.0000, 0.0000, 0.0000)
S (0.5000, 0.5000, 0.5000)
N (0.0000, 0.5000, 0.0000)
F (0.0000, 0.0000, 0.5000)

Results
- spin magnetization (μB per formula unit) = 0.00
- energy relative to the elements, uncorrected (kJ/mol of formula units) = 484.1
- crystal system = tetragonal
- E_tot (eV for the cell shown) = -24.31

Record 11
Nd2TiAs3Rh4 | PBE | relaxed

a = 4.1292 Å, b = 4.1292 Å, c = 10.8097 Å
α = 90.00°, β = 90.00°, γ = 90.00°
Space group P-4m2 (No. 115)
One atom of each set of equivalent atoms:
Nd (0.0000, 0.5000, 0.2368)
Ti (0.0000, 0.0000, 0.5000)
As (0.0000, 0.5000, 0.8630)
As (0.5000, 0.5000, 0.5000)
Rh (0.0000, 0.0000, 0.0000)
Rh (0.0000, 0.5000, 0.6357)
Rh (0.5000, 0.5000, 0.0000)

Results
- spin magnetization (μB per formula unit) = 0.00
- E_form (kJ per mole of atoms) = -91.85
- crystal system = tetragonal
- E_tot (eV for the cell shown) = -70.30

Record 12
LaNd2Y | PBE | relaxed

a = 3.6709 Å, b = 3.6709 Å, c = 35.9252 Å
α = 90.00°, β = 90.00°, γ = 120.00°
Space group R-3m (No. 166, hexagonal axes)
One atom of each set of equivalent atoms:
La (0.0000, 0.0000, 0.0000)
Nd (0.0000, 0.0000, 0.2482)
Y (0.0000, 0.0000, 0.5000)

Results
- spin magnetization (μB per formula unit) = 0.00
- E_form (kJ per mole of atoms) = 1.46
- crystal system = trigonal
- E_tot (eV for the cell shown) = -62.60